# 1
The following is a PBE+U calculation of crystalline V2P3O12 at its relaxed geometry, from the Alexandria database.

a = 8.4330 Å, b = 8.4634 Å, c = 8.7856 Å
α = 90.06°, β = 119.09°, γ = 119.75°
Closest atoms and distances in Å follow each position.
Fractional positions:
P 0.7213 0.4667 0.7463  4 O 1.53-1.55
O 0.3077 0.7215 0.2155  1 P 1.55
O 0.1402 0.9116 0.2268  1 P 1.57
O 0.2622 0.5275 0.4193  1 P 1.53
O 0.2662 0.5637 0.7349  1 P 1.53
P 0.2817 0.7511 0.7490  4 O 1.53-1.56
O 0.0732 0.3620 0.0797  1 P 1.54
O 0.6923 0.2785 0.7845  1 P 1.55
P 0.7183 0.2489 0.2510  4 O 1.53-1.56
O 0.1619 0.1950 0.7214  1 P 1.52
O 0.5051 0.0848 0.2322  1 P 1.56
O 0.2942 0.8082 0.9230  1 P 1.54
O 0.8598 0.0884 0.7732  1 P 1.57
O 0.5194 0.4610 0.7105  1 P 1.55
O 0.7378 0.4725 0.5807  1 P 1.53
O 0.4806 0.5390 0.2895  1 P 1.55
O 0.8381 0.8050 0.2786  1 P 1.52
V 0.2199 0.8643 0.0789  6 O 1.85-1.92
P 0.0002 0.9683 0.2493  4 O 1.52-1.57
P 0.2787 0.5333 0.2537  4 O 1.53-1.55
O 0.7338 0.4363 0.2651  1 P 1.53
O 0.4949 0.9152 0.7678  1 P 1.56
O 0.1352 0.0077 0.9363  1 P 1.56
O 0.8357 0.8419 0.5948  1 P 1.52
O 0.8648 0.9923 0.0637  1 P 1.56
O 0.1643 0.1581 0.4052  1 P 1.52
V 0.7827 0.6383 0.4280  6 O 1.88-1.98
V 0.2173 0.3617 0.5720  6 O 1.88-1.98
O 0.7058 0.1918 0.0770  1 P 1.54
V 0.7801 0.1357 0.9211  6 O 1.85-1.92
O 0.9268 0.6380 0.9203  1 P 1.54
O 0.0891 0.7399 0.5776  1 P 1.54
O 0.9109 0.2601 0.4224  1 P 1.54
P 0.9998 0.0317 0.7507  4 O 1.52-1.57

## Properties
- ΔE to the lowest computed polymorph (eV/atom) = 0.000
- space group = No. 2

***

# 2
The following is a PBE+U calculation of crystalline VP2O8 at its relaxed geometry, from the Alexandria database.

a = 4.6871 Å, b = 6.2320 Å, c = 6.2320 Å
α = 67.95°, β = 95.47°, γ = 95.47°
Closest atoms and distances in Å follow each position.
Fractional positions:
P 0.6505 0.1750 0.1750  4 O 1.50-1.60
O 0.3235 0.1310 0.1310  1 P 1.55
O 0.2017 0.0668 0.7268  1 P 1.60
V 0.0000 0.0000 0.0000  6 O 1.91
O 0.6765 0.8690 0.8690  1 P 1.55
O 0.7983 0.2732 0.9332  1 P 1.60
O 0.7052 0.3205 0.3205  1 P 1.50
O 0.7983 0.9332 0.2732  1 P 1.60
O 0.2017 0.7268 0.0668  1 P 1.60
O 0.2948 0.6795 0.6795  1 P 1.50
P 0.3495 0.8250 0.8250  4 O 1.50-1.60

## Properties
- electronic total energy (eV/atom) = -6.902
- DOS at the Fermi energy (states/eV/f.u.) = 5.16
- space group = No. 12